Entry from Alexandria: a relaxed ZrSc crystal (PBE-GGA).

a = 11.8133 Å, b = 3.2551 Å, c = 7.5936 Å
α = 90.00°, β = 103.30°, γ = 90.00°
With the nearest neighbours (Å) after each atom.
Space group Cm (No. 8)
Inequivalent atoms, fractional coordinates:
Zr 0.0000 0.0000 0.0000 [2 per cell]  5 Zr 3.14-3.26, 7 Sc 3.18-3.26
Zr 0.0495 0.0000 0.6108 [2 per cell]  7 Sc 3.14-3.30, 5 Zr 3.14-3.26
Zr 0.3914 0.0000 0.2785 [2 per cell]  6 Sc 3.16-3.27, 6 Zr 3.17-3.26
Sc 0.1643 0.5000 0.3328 [2 per cell]  5 Sc 3.15-3.28, 7 Zr 3.16-3.25
Sc 0.2211 0.5000 0.9477 [2 per cell]  5 Sc 3.15-3.26, 7 Zr 3.18-3.30
Sc 0.3336 0.0000 0.6672 [2 per cell]  6 Zr 3.14-3.28, 6 Sc 3.20-3.28

Results
Formation energy, eV/atom: -0.019